Record 1
The following is a PBE calculation of crystalline HoPaCoNi at its relaxed geometry, from Alexandria via LeMat-Bulk.

Cell: 3.8101 3.5877 11.4088 Å, 90.00 90.00 90.00°
Last column: nearest neighbours and their distance in Å.
Positions (direct):
Ho  0.0000  0.0000  0.0000  4 Ni 2.79, 1 Co 2.89
Ho  0.0000  0.5000  0.5000  4 Ni 2.79, 1 Co 2.89
Pa  0.5000  0.0000  0.2670  4 Co 2.63, 2 Ni 2.74
Pa  0.5000  0.5000  0.7670  4 Co 2.63, 2 Ni 2.74
Co  0.0000  0.0000  0.7469  4 Pa 2.63, 2 Ni 2.65, 1 Ho 2.89
Co  0.0000  0.5000  0.2469  4 Pa 2.63, 2 Ni 2.65, 1 Ho 2.89
Ni  0.5000  0.0000  0.5856  2 Co 2.65, 2 Pa 2.74, 4 Ho 2.79
Ni  0.5000  0.5000  0.0856  2 Co 2.65, 2 Pa 2.74, 4 Ho 2.79

Computed properties:
The space group is Amm2. Its calculated total energy is -7.1667 eV/atom. As for the crystal system: orthorhombic. The formation energy from the elements is -0.426 eV per atom. Its energy relative to the lowest polymorph listed for this composition is 0 meV per atom.

***

Record 2
The following is a PBE calculation of crystalline HoCoNiPb at its relaxed geometry, from Alexandria via LeMat-Bulk.

Cell: 6.5616 6.5616 6.5616 Å, 90.00 90.00 90.00°
Last column: nearest neighbours and their distance in Å.
Positions (direct):
Ho  0.0000  0.0000  0.0000  4 Ni 2.84, 4 Co 2.84
Ho  0.0000  0.5000  0.5000  4 Co 2.84, 4 Ni 2.84
Ho  0.5000  0.0000  0.5000  4 Co 2.84, 4 Ni 2.84
Ho  0.5000  0.5000  0.0000  4 Co 2.84, 4 Ni 2.84
Co  0.2500  0.2500  0.2500  4 Pb 2.84, 4 Ho 2.84
Co  0.2500  0.7500  0.7500  4 Pb 2.84, 4 Ho 2.84
Co  0.7500  0.2500  0.7500  4 Pb 2.84, 4 Ho 2.84
Co  0.7500  0.7500  0.2500  4 Pb 2.84, 4 Ho 2.84
Ni  0.2500  0.2500  0.7500  4 Pb 2.84, 4 Ho 2.84
Ni  0.2500  0.7500  0.2500  4 Pb 2.84, 4 Ho 2.84
Ni  0.7500  0.2500  0.2500  4 Pb 2.84, 4 Ho 2.84
Ni  0.7500  0.7500  0.7500  4 Ho 2.84, 4 Pb 2.84
Pb  0.0000  0.0000  0.5000  4 Co 2.84, 4 Ni 2.84
Pb  0.0000  0.5000  0.0000  4 Co 2.84, 4 Ni 2.84
Pb  0.5000  0.0000  0.0000  4 Co 2.84, 4 Ni 2.84
Pb  0.5000  0.5000  0.5000  4 Co 2.84, 4 Ni 2.84

Computed properties:
The space group is F-43m. Its calculated total energy is -5.4083 eV/atom. As for the crystal system: cubic. The formation energy from the elements is -0.115 eV per atom.

***

Record 3
The following is a PBE calculation of crystalline PmHoCoNi at its relaxed geometry, from Alexandria via LeMat-Bulk.

Cell: 3.9533 3.8687 10.6941 Å, 90.00 90.00 90.00°
Last column: nearest neighbours and their distance in Å.
Positions (direct):
Pm  0.0000  0.0000  0.0000  4 Co 2.89, 3 Ni 2.99-3.07
Pm  0.0000  0.5000  0.5000  4 Co 2.89, 3 Ni 2.99-3.07
Ho  0.5000  0.0000  0.2813  4 Ni 2.86, 3 Co 2.91-3.18
Ho  0.5000  0.5000  0.7813  4 Ni 2.86, 3 Co 2.91-3.18
Co  0.5000  0.0000  0.5785  2 Ni 2.45
Co  0.5000  0.5000  0.0785  2 Ni 2.45
Ni  0.0000  0.0000  0.7132  2 Co 2.45
Ni  0.0000  0.5000  0.2132  2 Co 2.45

Computed properties:
The space group is Amm2. Its calculated total energy is -5.8212 eV/atom. As for the crystal system: orthorhombic. The formation energy from the elements is -0.267 eV per atom. Its energy relative to the lowest polymorph listed for this composition is 0 meV per atom.

***

Record 4
The following is a PBE calculation of crystalline PmHoCoNi at its relaxed geometry, from Alexandria via LeMat-Bulk.

Cell: 6.7882 6.7882 6.7882 Å, 90.00 90.00 90.00°
Last column: nearest neighbours and their distance in Å.
Positions (direct):
Pm  0.0000  0.0000  0.0000  4 Co 2.94, 4 Ni 2.94
Pm  0.0000  0.5000  0.5000  4 Co 2.94, 4 Ni 2.94
Pm  0.5000  0.0000  0.5000  4 Co 2.94, 4 Ni 2.94
Pm  0.5000  0.5000  0.0000  4 Co 2.94, 4 Ni 2.94
Ho  0.0000  0.0000  0.5000  4 Ni 2.94, 4 Co 2.94
Ho  0.0000  0.5000  0.0000  4 Ni 2.94, 4 Co 2.94
Ho  0.5000  0.0000  0.0000  4 Ni 2.94, 4 Co 2.94
Ho  0.5000  0.5000  0.5000  4 Ni 2.94, 4 Co 2.94
Co  0.2500  0.2500  0.2500  4 Ho 2.94, 4 Pm 2.94
Co  0.2500  0.7500  0.7500  4 Ho 2.94, 4 Pm 2.94
Co  0.7500  0.2500  0.7500  4 Ho 2.94, 4 Pm 2.94
Co  0.7500  0.7500  0.2500  4 Ho 2.94, 4 Pm 2.94
Ni  0.2500  0.2500  0.7500  4 Ho 2.94, 4 Pm 2.94
Ni  0.2500  0.7500  0.2500  4 Ho 2.94, 4 Pm 2.94
Ni  0.7500  0.2500  0.2500  4 Ho 2.94, 4 Pm 2.94
Ni  0.7500  0.7500  0.7500  4 Ho 2.94, 4 Pm 2.94

Computed properties:
The space group is F-43m. Its calculated total energy is -5.7446 eV/atom. As for the crystal system: cubic. The formation energy from the elements is -0.191 eV per atom. Its energy relative to the lowest polymorph listed for this composition is 77 meV per atom.

***

Record 5
The following is a PBE calculation of crystalline Ho2CoSi3Ni12 at its relaxed geometry, from Alexandria via LeMat-Bulk.

Cell: 6.2306 6.2306 6.2306 Å, 84.50 84.50 84.50°
Last column: nearest neighbours and their distance in Å.
Positions (direct):
Ho  0.1635  0.1635  0.1635  9 Ni 2.53-2.76
Ho  0.8365  0.8365  0.8365  9 Ni 2.53-2.76
Co  0.5000  0.5000  0.5000  6 Ni 2.35
Si  0.0000  0.5000  0.5000  6 Ni 2.29-2.49
Si  0.5000  0.0000  0.5000  6 Ni 2.29-2.49
Si  0.5000  0.5000  0.0000  6 Ni 2.29-2.49
Ni  0.1121  0.1121  0.6014  2 Ni 2.33-2.56, 2 Si 2.49
Ni  0.1121  0.6014  0.1121  2 Ni 2.33-2.56, 2 Si 2.49
Ni  0.2069  0.6878  0.6878  1 Si 2.29, 3 Ni 2.33-2.41, 1 Co 2.35, 1 Ho 2.53
Ni  0.3122  0.3122  0.7931  1 Si 2.29, 3 Ni 2.33-2.41, 1 Co 2.35, 1 Ho 2.53
Ni  0.3122  0.7931  0.3122  1 Si 2.29, 3 Ni 2.33-2.41, 1 Co 2.35, 1 Ho 2.53
Ni  0.3986  0.8879  0.8879  2 Ni 2.33-2.56, 2 Si 2.49
Ni  0.6014  0.1121  0.1121  2 Ni 2.33-2.56, 2 Si 2.49
Ni  0.6878  0.2069  0.6878  1 Si 2.29, 3 Ni 2.33-2.41, 1 Co 2.35, 1 Ho 2.53
Ni  0.6878  0.6878  0.2069  1 Si 2.29, 3 Ni 2.33-2.41, 1 Co 2.35, 1 Ho 2.53
Ni  0.7931  0.3122  0.3122  1 Si 2.29, 3 Ni 2.33-2.41, 1 Co 2.35, 1 Ho 2.53
Ni  0.8879  0.3986  0.8879  2 Ni 2.33-2.56, 2 Si 2.49
Ni  0.8879  0.8879  0.3986  2 Ni 2.33-2.56, 2 Si 2.49

Computed properties:
The space group is R-3m. Its calculated total energy is -5.7800 eV/atom. As for the crystal system: trigonal.

***

Record 6
The following is a PBE calculation of crystalline Ho2Co2SiNi5 at its relaxed geometry, from Alexandria via LeMat-Bulk.

Cell: 8.8218 8.8218 3.5773 Å, 90.00 90.00 90.00°
Last column: nearest neighbours and their distance in Å.
Positions (direct):
Ho  0.1750  0.3250  0.0000  3 Co 2.48-2.69
Ho  0.3250  0.8250  0.0000  3 Co 2.48-2.69
Ho  0.6750  0.1750  0.0000  3 Co 2.48-2.69
Ho  0.8250  0.6750  0.0000  3 Co 2.48-2.69
Co  0.1261  0.6261  0.0000  6 Ni 2.38-2.44, 1 Ho 2.48
Co  0.3739  0.1261  0.0000  6 Ni 2.38-2.44, 1 Ho 2.48
Co  0.6261  0.8739  0.0000  6 Ni 2.38-2.44, 1 Ho 2.48
Co  0.8739  0.3739  0.0000  6 Ni 2.38-2.44, 1 Ho 2.48
Si  0.0000  0.0000  0.0000  8 Ni 2.55
Si  0.5000  0.5000  0.0000  8 Ni 2.55
Ni  0.0000  0.5000  0.5000  4 Co 2.38
Ni  0.0584  0.8021  0.5000  2 Co 2.44, 2 Si 2.55, 3 Ni 2.57-2.71
Ni  0.1979  0.0584  0.5000  2 Co 2.44, 2 Si 2.55, 3 Ni 2.57-2.71
Ni  0.3021  0.5584  0.5000  2 Co 2.44, 2 Si 2.55, 3 Ni 2.57-2.71
Ni  0.4416  0.3021  0.5000  2 Co 2.44, 2 Si 2.55, 3 Ni 2.57-2.71
Ni  0.5000  0.0000  0.5000  4 Co 2.38
Ni  0.5584  0.6979  0.5000  2 Co 2.44, 2 Si 2.55, 3 Ni 2.57-2.71
Ni  0.6979  0.4416  0.5000  2 Co 2.44, 2 Si 2.55, 3 Ni 2.57-2.71
Ni  0.8021  0.9416  0.5000  2 Co 2.44, 2 Si 2.55, 3 Ni 2.57-2.71
Ni  0.9416  0.1979  0.5000  2 Co 2.44, 2 Si 2.55, 3 Ni 2.57-2.71

Computed properties:
The space group is P4/mbm. Its calculated total energy is -6.0222 eV/atom. As for the crystal system: tetragonal.

***

Record 7
The following is a PBE calculation of crystalline HoCo2Si2Ni at its relaxed geometry, from Alexandria via LeMat-Bulk.

Cell: 4.2361 4.2361 5.1214 Å, 90.00 90.00 90.00°
Last column: nearest neighbours and their distance in Å.
Positions (direct):
Ho  0.0000  0.0000  0.0000  2 Ni 2.56
Co  0.5000  0.5000  0.2444  4 Si 2.49, 2 Co 2.50-2.62
Co  0.5000  0.5000  0.7556  4 Si 2.49, 2 Co 2.50-2.62
Si  0.0000  0.5000  0.5000  2 Ni 2.12
Si  0.5000  0.0000  0.5000  2 Ni 2.12
Ni  0.0000  0.0000  0.5000  4 Si 2.12

Computed properties:
The space group is P4/mmm. Its calculated total energy is -6.0429 eV/atom. As for the crystal system: tetragonal.

***

Record 8
The following is a PBE calculation of crystalline HoCoSiNi at its relaxed geometry, from Alexandria via LeMat-Bulk.

Cell: 4.1343 3.3548 9.1102 Å, 90.00 90.00 90.00°
Last column: nearest neighbours and their distance in Å.
Positions (direct):
Ho  0.0000  0.0000  0.0000  3 Ni 2.44-2.70
Ho  0.0000  0.5000  0.5000  3 Ni 2.44-2.70
Co  0.5000  0.0000  0.3222  2 Si 2.38
Co  0.5000  0.5000  0.8222  2 Si 2.38
Si  0.5000  0.0000  0.6366  2 Ni 2.24, 2 Co 2.38
Si  0.5000  0.5000  0.1366  2 Ni 2.24, 2 Co 2.38
Ni  0.0000  0.0000  0.7317  2 Si 2.24, 1 Ho 2.44
Ni  0.0000  0.5000  0.2317  2 Si 2.24, 1 Ho 2.44

Computed properties:
The space group is Amm2. Its calculated total energy is -6.0057 eV/atom. As for the crystal system: orthorhombic.

***

| no. | DOS at the Fermi energy (states/eV per cell) | size of the total moment (Bohr magnetons per cell) |
| --- | --- | --- |
| 1 | 6.6 | 0.0 |
| 2 | 12.5 | 5.5 |
| 3 | 5.9 | 0.0 |
| 4 | 13.0 | 0.7 |
| 5 | 17.3 | 2.8 |
| 6 | 27.5 | 5.5 |
| 7 | 5.7 | 0.8 |
| 8 | 7.6 | 1.0 |